{"formula": "Ac5PmSn4", "functional": "PBE-GGA", "state": "relaxed", "e_form_ev_per_atom": -0.51, "dft_energy_ev_per_fu": -46.42, "lattice": [[-1.940, -4.491, 2.835], [6.863, -3.467, -0.795], [-3.064, 9.240, 6.901]], "species": ["Sn", "Sn", "Sn", "Sn", "Pm", "Ac", "Ac", "Ac", "Ac", "Ac"], "fractional_positions": [[0.673, 0.096, 0.345], [0.008, 0.251, 0.015], [0.992, 0.749, 0.985], [0.327, 0.904, 0.655], [0.500, 0.000, 0.000], [0.836, 0.173, 0.672], [0.167, 0.326, 0.333], [0.500, 0.500, 0.000], [0.164, 0.827, 0.328], [0.833, 0.674, 0.667]]}